Computed, not measured: Y2HoRu3 after structural relaxation at the PBE level of DFT.

Calculated values
**ρ**: 9076 kg/m3
**D(E_F)**: 6.89 states/eV per cell
**Raw total energy**: -7.86 eV/atom

Lattice parameters (Å, degrees): 3.4140 4.8028 7.5969 108.43 90.00 90.00
With the nearest neighbours (Å) after each atom.
Sites, in units of the cell vectors:
Y: 0.0000 0.3334 0.6669  8 Ru 2.95-2.97
Y: 0.0000 0.6666 0.3331  8 Ru 2.95-2.97
Ho: 0.0000 0.0000 0.0000  8 Ru 2.93-2.95
Ru: 0.5000 0.5000 0.0000  4 Y 2.95, 4 Ho 2.95
Ru: 0.5000 0.8352 0.6704  2 Ho 2.93, 6 Y 2.95-2.97
Ru: 0.5000 0.1648 0.3296  2 Ho 2.93, 6 Y 2.95-2.97

=====

Computed, not measured: CsPr4Te6 after structural relaxation at the PBE level of DFT.

Calculated values
**ρ**: 5603 kg/m3
**D(E_F)**: 3.37 states/eV per cell
**Raw total energy**: -4.72 eV/atom

Lattice parameters (Å, degrees): 8.3735 8.3735 8.3735 95.77 116.72 116.72
With the nearest neighbours (Å) after each atom.
Sites, in units of the cell vectors:
Cs: 0.0000 0.0000 0.0000  8 Te 4.00-4.39, 4 Pr 4.01
Pr: 0.0000 0.2108 0.5912  6 Te 3.10-3.38
Pr: 0.6196 0.4088 0.4088  6 Te 3.10-3.38
Pr: 0.0000 0.5912 0.2108  6 Te 3.10-3.38
Pr: 0.3804 0.7892 0.7892  6 Te 3.10-3.38
Te: 0.0000 0.8392 0.5339  4 Pr 3.10-3.24
Te: 0.0000 0.5339 0.8392  4 Pr 3.10-3.24
Te: 0.6948 0.1608 0.1608  4 Pr 3.10-3.24
Te: 0.5000 0.0000 0.5000  4 Pr 3.38
Te: 0.3052 0.4661 0.4661  4 Pr 3.10-3.24
Te: 0.5000 0.5000 0.0000  4 Pr 3.38

=====

Computed, not measured: DySiAgS4 after structural relaxation at the PBE level of DFT.

Calculated values
**ρ**: 4377 kg/m3
**D(E_F)**: 0.00 states/eV per cell
**Raw total energy**: -5.19 eV/atom

Lattice parameters (Å, degrees): 6.4377 6.6405 7.5945 90.00 94.18 90.00
With the nearest neighbours (Å) after each atom.
Sites, in units of the cell vectors:
Dy: 0.7767 0.7500 0.4427  6 S 2.70-2.87
Dy: 0.2233 0.2500 0.5573  6 S 2.70-2.87
Si: 0.2851 0.7500 0.3123  4 S 2.08-2.16
Si: 0.7149 0.2500 0.6877  4 S 2.08-2.16
Ag: 0.8678 0.7500 0.9867  3 S 2.58-2.64
Ag: 0.1322 0.2500 0.0133  3 S 2.58-2.64
S: 0.9331 0.4965 0.7282  1 Si 2.16
S: 0.0669 0.9965 0.2718  1 Si 2.16
S: 0.0669 0.5035 0.2718  1 Si 2.16
S: 0.9331 0.0035 0.7282  1 Si 2.16
S: 0.5244 0.7500 0.1420  1 Si 2.08
S: 0.4756 0.2500 0.8580  1 Si 2.08
S: 0.3957 0.7500 0.5813  1 Si 2.11
S: 0.6043 0.2500 0.4187  1 Si 2.11

=====

Computed, not measured: MgFe2Cl8 after structural relaxation at the PBE level of DFT.

Calculated values
**ρ**: 1973 kg/m3
**Raw total energy**: -4.07 eV/atom

Lattice parameters (Å, degrees): 6.1197 7.7254 7.7254 76.02 86.20 86.20
With the nearest neighbours (Å) after each atom.
Sites, in units of the cell vectors:
Mg: 0.0000 0.0000 0.0000  6 Cl 2.52-2.58
Fe: 0.6405 0.8119 0.8119  4 Cl 2.14-2.25
Fe: 0.3595 0.1881 0.1881  4 Cl 2.14-2.25
Cl: 0.2204 0.2751 0.9160  1 Fe 2.25, 1 Mg 2.52
Cl: 0.7796 0.0840 0.7249  1 Fe 2.25, 1 Mg 2.52
Cl: 0.2746 0.8269 0.8269  1 Fe 2.23
Cl: 0.7254 0.1731 0.1731  1 Fe 2.23
Cl: 0.2204 0.9160 0.2751  1 Fe 2.25, 1 Mg 2.52
Cl: 0.7796 0.7249 0.0840  1 Fe 2.25, 1 Mg 2.52
Cl: 0.7513 0.6402 0.6402  1 Fe 2.14
Cl: 0.2487 0.3598 0.3598  1 Fe 2.14

=====

Computed, not measured: BeGe2N after structural relaxation at the PBE level of DFT.

Calculated values
**ρ**: 5345 kg/m3
**D(E_F)**: 2.01 states/eV per cell
**Raw total energy**: -4.12 eV/atom

Lattice parameters (Å, degrees): 4.1974 4.1974 4.1974 60.00 60.00 60.00
With the nearest neighbours (Å) after each atom.
Sites, in units of the cell vectors:
Be: 0.0000 0.0000 0.0000  8 Ge 2.57
Ge: 0.2500 0.2500 0.2500  4 N 2.57, 4 Be 2.57
Ge: 0.7500 0.7500 0.7500  4 Be 2.57, 4 N 2.57
N: 0.5000 0.5000 0.5000  8 Ge 2.57

=====

Computed, not measured: LaSbWI2 after structural relaxation at the PBE level of DFT.

Calculated values
**ρ**: 7265 kg/m3
**D(E_F)**: 5.83 states/eV per cell
**Raw total energy**: -4.70 eV/atom

Lattice parameters (Å, degrees): 5.4526 5.4526 5.3683 90.00 90.00 90.00
With the nearest neighbours (Å) after each atom.
Sites, in units of the cell vectors:
I: 0.0000 0.5000 0.0000  2 W 2.73
I: 0.5000 0.0000 0.0000  2 W 2.73
Sb: 0.0000 0.0000 0.5000  2 W 2.68
W: 0.0000 0.0000 0.0000  2 Sb 2.68, 4 I 2.73
La: 0.5000 0.5000 0.5000  8 I 3.83, 4 Sb 3.86

=====

- Among the records above, which one has the lowest raw total energy?
  Y2HoRu3

=====

Repeat the second record exactly.
Computed, not measured: CsPr4Te6 after structural relaxation at the PBE level of DFT.

Calculated values
**ρ**: 5603 kg/m3
**D(E_F)**: 3.37 states/eV per cell
**Raw total energy**: -4.72 eV/atom

Lattice parameters (Å, degrees): 8.3735 8.3735 8.3735 95.77 116.72 116.72
With the nearest neighbours (Å) after each atom.
Sites, in units of the cell vectors:
Cs: 0.0000 0.0000 0.0000  8 Te 4.00-4.39, 4 Pr 4.01
Pr: 0.0000 0.2108 0.5912  6 Te 3.10-3.38
Pr: 0.6196 0.4088 0.4088  6 Te 3.10-3.38
Pr: 0.0000 0.5912 0.2108  6 Te 3.10-3.38
Pr: 0.3804 0.7892 0.7892  6 Te 3.10-3.38
Te: 0.0000 0.8392 0.5339  4 Pr 3.10-3.24
Te: 0.0000 0.5339 0.8392  4 Pr 3.10-3.24
Te: 0.6948 0.1608 0.1608  4 Pr 3.10-3.24
Te: 0.5000 0.0000 0.5000  4 Pr 3.38
Te: 0.3052 0.4661 0.4661  4 Pr 3.10-3.24
Te: 0.5000 0.5000 0.0000  4 Pr 3.38

=====

- Among the records above, which one has the lowest ρ?
  MgFe2Cl8

=====

- What is the formula in the fifth record?
  BeGe2N